1.
A relaxed SrCaSb3 crystal. Source: Alexandria via LeMat-Bulk, functional PBE-GGA.

Output
- total magnetic moment (μB/f.u.) = 0.00
- electronic total energy (eV per cell) = -16.573
- formation energy (no corrections) (eV per atom) = -0.10

Lattice parameters (Å, degrees): 5.7217 5.7217 5.7217 90.00 90.00 90.00
Closest atoms and distances in Å follow each position.
Fractional positions:
Sb (0.0000, 0.5000, 0.0000)  2 Ca 2.86
Sb (0.0000, 0.0000, 0.5000)  2 Ca 2.86
Ca (0.0000, 0.0000, 0.0000)  6 Sb 2.86
Sb (0.5000, 0.0000, 0.0000)  2 Ca 2.86
Sr (0.5000, 0.5000, 0.5000)  12 Sb 4.05


2.
A relaxed Ba2PCl crystal. Source: Alexandria via LeMat-Bulk, functional PBE-GGA.

Output
- total magnetic moment (μB/f.u.) = 0.00
- electronic total energy (eV per cell) = -16.985
- formation energy (no corrections) (eV per atom) = -1.47

Lattice parameters (Å, degrees): 3.9419 3.9413 8.1274 90.00 90.00 90.00
Closest atoms and distances in Å follow each position.
Fractional positions:
Cl (0.5000, 0.5000, 0.2500)  8 Ba 3.62, 4 Cl 3.94
Ba (0.0000, 0.0000, 0.9649)  4 P 3.29, 1 Ba 3.49, 4 Cl 3.62
Ba (0.0000, 0.0000, 0.5351)  4 P 3.29, 1 Ba 3.49, 4 Cl 3.62
P (0.5000, 0.5000, 0.7500)  8 Ba 3.29


3.
A relaxed Na2Ge2Se5 crystal. Source: Alexandria via LeMat-Bulk, functional PBE-GGA.

Output
- total magnetic moment (μB/f.u.) = 0.00
- electronic total energy (eV per cell) = -138.952
- formation energy (no corrections) (eV per atom) = -0.60

Lattice parameters (Å, degrees): 9.6348 9.6348 11.2337 90.00 90.00 91.31
Closest atoms and distances in Å follow each position.
Fractional positions:
Se (0.4978, 0.2028, 0.4244)  2 Ge 2.41-2.42
Se (0.7972, 0.5022, 0.0756)  2 Ge 2.41-2.42
Ge (0.6853, 0.5956, 0.2500)  4 Se 2.32-2.42
Se (0.2683, 0.1669, 0.7500)  1 Ge 2.32
Se (0.5022, 0.7972, 0.9244)  2 Ge 2.41-2.42
Se (0.5022, 0.7972, 0.5756)  2 Ge 2.41-2.42
Na (0.4257, 0.9268, 0.2500)  5 Se 3.10-3.36
Se (0.8430, 0.1570, 0.9123)  1 Ge 2.32
Na (0.5743, 0.0732, 0.7500)  5 Se 3.10-3.36
Se (0.1570, 0.8430, 0.4123)  1 Ge 2.32
Se (0.4978, 0.2028, 0.0756)  2 Ge 2.41-2.42
Na (0.1451, 0.1451, 0.0000)  4 Se 3.05-3.08
Ge (0.2563, 0.7437, 0.5794)  4 Se 2.32-2.41
Ge (0.2563, 0.7437, 0.9206)  4 Se 2.32-2.41
Na (0.8549, 0.8549, 0.0000)  4 Se 3.05-3.08
Na (0.1451, 0.1451, 0.5000)  4 Se 3.05-3.08
Se (0.1512, 0.8488, 0.7500)  2 Ge 2.40
Se (0.2028, 0.4978, 0.5756)  2 Ge 2.41-2.42
Na (0.8549, 0.8549, 0.5000)  4 Se 3.05-3.08
Ge (0.4044, 0.3147, 0.2500)  4 Se 2.32-2.42
Se (0.7317, 0.8331, 0.2500)  1 Ge 2.32
Se (0.1570, 0.8430, 0.0877)  1 Ge 2.32
Se (0.7972, 0.5022, 0.4244)  2 Ge 2.41-2.42
Ge (0.5956, 0.6853, 0.7500)  4 Se 2.32-2.42
Na (0.0732, 0.5743, 0.2500)  5 Se 3.10-3.36
Na (0.9268, 0.4257, 0.7500)  5 Se 3.10-3.36
Se (0.4400, 0.5600, 0.2500)  2 Ge 2.38
Se (0.8430, 0.1570, 0.5877)  1 Ge 2.32
Se (0.8488, 0.1512, 0.2500)  2 Ge 2.40
Se (0.1669, 0.2683, 0.2500)  1 Ge 2.32
Se (0.5600, 0.4400, 0.7500)  2 Ge 2.38
Ge (0.7437, 0.2563, 0.4206)  4 Se 2.32-2.41
Se (0.2028, 0.4978, 0.9244)  2 Ge 2.41-2.42
Ge (0.3147, 0.4044, 0.7500)  4 Se 2.32-2.42
Se (0.8331, 0.7317, 0.7500)  1 Ge 2.32
Ge (0.7437, 0.2563, 0.0794)  4 Se 2.32-2.41


4.
A relaxed Ho12Ni5Hg3 crystal. Source: Alexandria via LeMat-Bulk, functional PBE-GGA.

Output
- total magnetic moment (μB/f.u.) = 0.00
- electronic total energy (eV per cell) = -342.265
- energy relative to the elements (kJ/mol of atoms) = -4.0

Lattice parameters (Å, degrees): 14.2899 14.2899 14.2899 109.47 109.47 109.47
Closest atoms and distances in Å follow each position.
Fractional positions:
Ho (0.4126, 0.3787, 0.5871)  2 Ni 2.54-2.67
Ni (0.6250, 0.8750, 0.2500)  4 Ho 2.54
Ni (0.0000, 0.0000, 0.0000)  6 Ho 2.67
Ho (0.0871, 0.9126, 0.3787)  2 Ni 2.54-2.67
Hg (0.2500, 0.1250, 0.3750)  8 Ho 3.18
Ho (0.2916, 0.8787, 0.9661)  2 Ni 2.54-2.67
Ho (0.7084, 0.5871, 0.1746)  2 Ni 2.54-2.67
Hg (0.8750, 0.1250, 0.2500)  8 Ho 3.18
Ni (0.0000, 0.5000, 0.5000)  6 Ho 2.67
Ho (0.4661, 0.7916, 0.8787)  2 Ni 2.54-2.67
Ho (0.7084, 0.1213, 0.0339)  2 Ni 2.54-2.67
Ni (0.8750, 0.6250, 0.7500)  4 Ho 2.54
Ho (0.2916, 0.4129, 0.8254)  2 Ni 2.54-2.67
Ni (0.3750, 0.1250, 0.7500)  4 Ho 2.54
Ho (0.4129, 0.1213, 0.5874)  2 Ni 2.54-2.67
Ho (0.0874, 0.9129, 0.1213)  2 Ni 2.54-2.67
Ho (0.9129, 0.0874, 0.6213)  2 Ni 2.54-2.67
Ho (0.3787, 0.9661, 0.7916)  2 Ni 2.54-2.67
Ho (0.9129, 0.8254, 0.7916)  2 Ni 2.54-2.67
Ni (0.1250, 0.7500, 0.3750)  4 Ho 2.54
Ho (0.1213, 0.7084, 0.5339)  2 Ni 2.54-2.67
Ho (0.1746, 0.0871, 0.7084)  2 Ni 2.54-2.67
Ho (0.4661, 0.6746, 0.0874)  2 Ni 2.54-2.67
Ni (0.1250, 0.3750, 0.2500)  4 Ho 2.54
Ho (0.6746, 0.4661, 0.5874)  2 Ni 2.54-2.67
Ho (0.3254, 0.5339, 0.4126)  2 Ni 2.54-2.67
Ho (0.9126, 0.0871, 0.8787)  2 Ni 2.54-2.67
Ho (0.9126, 0.8254, 0.5339)  2 Ni 2.54-2.67
Hg (0.6250, 0.3750, 0.7500)  8 Ho 3.18
Hg (0.7500, 0.3750, 0.1250)  8 Ho 3.18
Ho (0.9661, 0.5874, 0.1746)  2 Ni 2.54-2.67
Ho (0.5871, 0.8787, 0.4126)  2 Ni 2.54-2.67
Ni (0.2500, 0.8750, 0.1250)  4 Ho 2.54
Ni (0.0000, 0.0000, 0.5000)  6 Ho 2.67
Ho (0.7916, 0.3254, 0.9129)  2 Ni 2.54-2.67
Ho (0.3254, 0.7916, 0.4129)  2 Ni 2.54-2.67
Hg (0.2500, 0.6250, 0.8750)  8 Ho 3.18
Ho (0.7916, 0.4661, 0.3787)  2 Ni 2.54-2.67
Ho (0.5871, 0.7084, 0.6746)  2 Ni 2.54-2.67
Ho (0.2084, 0.6746, 0.0871)  2 Ni 2.54-2.67
Ni (0.3750, 0.2500, 0.1250)  4 Ho 2.54
Ho (0.5874, 0.9661, 0.6746)  2 Ni 2.54-2.67
Ho (0.6213, 0.0339, 0.2084)  2 Ni 2.54-2.67
Ho (0.3787, 0.4126, 0.0871)  2 Ni 2.54-2.67
Ho (0.8254, 0.9126, 0.0339)  2 Ni 2.54-2.67
Hg (0.8750, 0.7500, 0.1250)  8 Ho 3.18
Ho (0.0339, 0.6213, 0.7084)  2 Ni 2.54-2.67
Ho (0.0339, 0.4126, 0.8254)  2 Ni 2.54-2.67
Ni (0.5000, 0.5000, 0.5000)  6 Ho 2.67
Ni (0.7500, 0.6250, 0.3750)  4 Ho 2.54
Ho (0.6746, 0.2084, 0.5871)  2 Ni 2.54-2.67
Ni (0.5000, 0.0000, 0.0000)  6 Ho 2.67
Ho (0.6213, 0.5874, 0.9129)  2 Ni 2.54-2.67
Ho (0.1213, 0.4129, 0.0874)  2 Ni 2.54-2.67
Ho (0.2084, 0.5339, 0.6213)  2 Ni 2.54-2.67
Ho (0.5874, 0.6213, 0.4129)  2 Ni 2.54-2.67
Ho (0.8787, 0.2916, 0.4661)  2 Ni 2.54-2.67
Ni (0.5000, 0.5000, 0.0000)  6 Ho 2.67
Hg (0.1250, 0.8750, 0.7500)  8 Ho 3.18
Ni (0.7500, 0.1250, 0.8750)  4 Ho 2.54
Ni (0.2500, 0.3750, 0.6250)  4 Ho 2.54
Hg (0.7500, 0.8750, 0.6250)  8 Ho 3.18
Hg (0.3750, 0.7500, 0.6250)  8 Ho 3.18
Ho (0.9661, 0.3787, 0.2916)  2 Ni 2.54-2.67
Ho (0.4129, 0.2916, 0.3254)  2 Ni 2.54-2.67
Ho (0.5339, 0.2084, 0.1213)  2 Ni 2.54-2.67
Ho (0.8254, 0.9129, 0.2916)  2 Ni 2.54-2.67
Ho (0.0871, 0.1746, 0.2084)  2 Ni 2.54-2.67
Ho (0.1746, 0.0874, 0.9661)  2 Ni 2.54-2.67
Ho (0.5339, 0.3254, 0.9126)  2 Ni 2.54-2.67
Hg (0.6250, 0.2500, 0.3750)  8 Ho 3.18
Hg (0.3750, 0.6250, 0.2500)  8 Ho 3.18
Hg (0.1250, 0.2500, 0.8750)  8 Ho 3.18
Ho (0.0874, 0.1746, 0.4661)  2 Ni 2.54-2.67
Ni (0.0000, 0.5000, 0.0000)  6 Ho 2.67
Ni (0.6250, 0.7500, 0.8750)  4 Ho 2.54
Ni (0.5000, 0.0000, 0.5000)  6 Ho 2.67
Ni (0.8750, 0.2500, 0.6250)  4 Ho 2.54
Ho (0.8787, 0.5871, 0.9126)  2 Ni 2.54-2.67
Ho (0.4126, 0.0339, 0.3254)  2 Ni 2.54-2.67


5.
A relaxed TaV6Sn crystal. Source: Alexandria via LeMat-Bulk, functional PBE-GGA.

Output
- total magnetic moment (μB/f.u.) = 0.00
- electronic total energy (eV per cell) = -69.292
- energy relative to the elements (kJ/mol of atoms) = 15.4

Lattice parameters (Å, degrees): 4.5570 5.7577 5.7577 125.82 90.00 90.00
Closest atoms and distances in Å follow each position.
Fractional positions:
V (0.0000, 0.0878, 0.4565)  3 V 2.39-2.64
V (0.5000, 0.9474, 0.5775)  5 V 2.49-2.75
Sn (0.5000, 0.9275, 0.0725)  12 V 2.62-2.92
Ta (0.0000, 0.5691, 0.4309)  12 V 2.62-2.92
V (0.5000, 0.4225, 0.0526)  5 V 2.49-2.75
V (0.5000, 0.4222, 0.5778)  2 Sn 2.62, 2 Ta 2.73, 6 V 2.73-2.79
V (0.0000, 0.0800, 0.9200)  2 Ta 2.62, 6 V 2.70-2.81, 2 Sn 2.76
V (0.0000, 0.5435, 0.9122)  3 V 2.39-2.64


6.
A relaxed MoP4Ru crystal. Source: Alexandria via LeMat-Bulk, functional PBE-GGA.

Output
- total magnetic moment (μB/f.u.) = 0.00
- electronic total energy (eV per cell) = -37.324
- energy relative to the elements (kJ/mol of atoms) = 71.1

Lattice parameters (Å, degrees): 4.8893 4.8893 4.8893 60.00 60.00 60.00
Closest atoms and distances in Å follow each position.
Fractional positions:
P (0.3749, 0.8752, 0.3749)  6 P 2.44-2.45
P (0.3749, 0.3749, 0.8752)  6 P 2.44-2.45
P (0.8752, 0.3749, 0.3749)  6 P 2.44-2.45
P (0.3749, 0.3749, 0.3749)  6 P 2.44-2.45
Ru (0.7500, 0.7500, 0.7500)  12 P 2.87, 4 Mo 2.99
Mo (0.0000, 0.0000, 0.0000)  12 P 2.87, 4 Ru 2.99